Record 1
Entry from the Alexandria database: a relaxed AlCrP2 crystal (GGA-PBEsol).

DFT total energy, eV/atom: -6.68

abc: 3.476 3.476 4.974
angles: 90.00 90.00 90.00
Space group P4mm (No. 99)
Symmetry-distinct sites (fractional):
Al: 0.000 0.000 0.000 x1
Cr: 0.500 0.500 0.497 x1
P: 0.000 0.000 0.499 x1
P: 0.500 0.500 0.997 x1

=====

Record 2
Entry from the Alexandria database: a relaxed Al2CrP crystal (GGA-PBEsol).

DFT total energy, eV/atom: -5.94

abc: 2.8269 2.8269 24.1242
angles: 90.00 90.00 120.00
Space group R-3m (No. 166, hexagonal axes)
Symmetry-distinct sites (fractional):
Al: 0.0000 0.0000 0.2478 x6
Cr: 0.0000 0.0000 0.5000 x3
P: 0.0000 0.0000 0.0000 x3